1.
# NbNiAs2 (PBE, optimized geometry)
# - total magnetization (Bohr magnetons per cell) = 0.00
# - DOS(E_F) (states/eV per cell) = 8.89
# - V (Å³/atom) = 16.98
# - E_form (eV/atom) = 0.12
data_NbNiAs2
_chemical_formula_sum 'Nb3 Ni3 As6'
_space_group_name_H-M_alt 'R -3 m'
_space_group_IT_number 166
_space_group_name_Hall '-R 3 2"'
_cell_length_a 3.0112
_cell_length_b 3.0112
_cell_length_c 25.9490
_cell_angle_alpha 90.00
_cell_angle_beta 90.00
_cell_angle_gamma 120.00
loop_
_atom_site_label
_atom_site_fract_x
_atom_site_fract_y
_atom_site_fract_z
_atom_site_occupancy
Nb1 0.0000 0.0000 0.0000 1
Ni1 0.0000 0.0000 0.5000 1
As1 0.0000 0.0000 0.1017 1


2.
# Nb2NiAs2 (PBE, optimized geometry)
# - total magnetization (Bohr magnetons per cell) = 0.00
# - DOS(E_F) (states/eV per cell) = 4.67
# - V (Å³/atom) = 16.25
# - E_form (eV/atom) = -0.29
data_Nb2NiAs2
_chemical_formula_sum 'Nb4 Ni2 As4'
_space_group_name_H-M_alt 'P 4/m b m'
_space_group_IT_number 127
_space_group_name_Hall '-P 4 2ab'
_cell_length_a 6.833
_cell_length_b 6.833
_cell_length_c 3.480
_cell_angle_alpha 90.00
_cell_angle_beta 90.00
_cell_angle_gamma 90.00
loop_
_atom_site_label
_atom_site_fract_x
_atom_site_fract_y
_atom_site_fract_z
_atom_site_occupancy
Nb1 0.149 0.351 0.000 1
Ni1 0.000 0.000 0.500 1
As1 0.152 0.652 0.500 1


3.
# NbNiAs2 (PBE, optimized geometry)
# - total magnetization (Bohr magnetons per cell) = 0.00
# - DOS(E_F) (states/eV per cell) = 8.73
# - V (Å³/atom) = 15.67
# - E_form (eV/atom) = -0.07
data_NbNiAs2
_chemical_formula_sum 'Nb4 Ni4 As8'
_space_group_name_H-M_alt 'F m -3 m'
_space_group_IT_number 225
_space_group_name_Hall '-F 4 2 3'
_cell_length_a 6.306
_cell_length_b 6.306
_cell_length_c 6.306
_cell_angle_alpha 90.00
_cell_angle_beta 90.00
_cell_angle_gamma 90.00
loop_
_atom_site_label
_atom_site_fract_x
_atom_site_fract_y
_atom_site_fract_z
_atom_site_occupancy
Nb1 0.000 0.000 0.000 1
Ni1 0.000 0.000 0.500 1
As1 0.250 0.250 0.250 1


4.
# NbNiAs2 (PBE, optimized geometry)
# - total magnetization (Bohr magnetons per cell) = 0.00
# - DOS(E_F) (states/eV per cell) = 6.25
# - V (Å³/atom) = 15.74
# - E_form (eV/atom) = -0.50
data_NbNiAs2
_chemical_formula_sum 'Nb4 Ni4 As8'
_space_group_name_H-M_alt 'P n m a'
_space_group_IT_number 62
_cell_length_a 5.652
_cell_length_b 3.536
_cell_length_c 12.597
_cell_angle_alpha 90.00
_cell_angle_beta 90.00
_cell_angle_gamma 90.00
loop_
_space_group_symop_operation_xyz
'x,y,z'
'-x,-y,-z'
'-x+1/2,-y,z+1/2'
'x+1/2,y,-z+1/2'
'x+1/2,-y+1/2,-z+1/2'
'-x+1/2,y+1/2,z+1/2'
'-x,y+1/2,-z'
'x,-y+1/2,z'
loop_
_atom_site_label
_atom_site_fract_x
_atom_site_fract_y
_atom_site_fract_z
_atom_site_occupancy
Nb1 0.010 0.250 0.172 1
Ni1 0.021 0.250 0.413 1
As1 0.145 0.250 0.690 1
As2 0.196 0.250 0.963 1


5.
# Nb2Ni4As (PBE, optimized geometry)
# - total magnetization (Bohr magnetons per cell) = 0.00
# - DOS(E_F) (states/eV per cell) = 15.58
# - V (Å³/atom) = 16.32
# - E_form (eV/atom) = 0.58
data_Nb2Ni4As
_chemical_formula_sum 'Nb4 Ni8 As2'
_space_group_name_H-M_alt 'I 4/m m m'
_space_group_IT_number 139
_space_group_name_Hall '-I 4 2'
_cell_length_a 4.104
_cell_length_b 4.104
_cell_length_c 13.563
_cell_angle_alpha 90.00
_cell_angle_beta 90.00
_cell_angle_gamma 90.00
loop_
_atom_site_label
_atom_site_fract_x
_atom_site_fract_y
_atom_site_fract_z
_atom_site_occupancy
Nb1 0.000 0.000 0.163 1
Ni1 0.000 0.000 0.333 1
Ni2 0.000 0.500 0.000 1
As1 0.000 0.000 0.500 1


6.
# Nb2Ni2As (PBE, optimized geometry)
# - total magnetization (Bohr magnetons per cell) = 0.00
# - DOS(E_F) (states/eV per cell) = 8.80
# - V (Å³/atom) = 14.78
# - E_form (eV/atom) = -0.20
data_Nb2Ni2As
_chemical_formula_sum 'Nb4 Ni4 As2'
_space_group_name_H-M_alt 'P 4/m b m'
_space_group_IT_number 127
_space_group_name_Hall '-P 4 2ab'
_cell_length_a 6.214
_cell_length_b 6.214
_cell_length_c 3.827
_cell_angle_alpha 90.00
_cell_angle_beta 90.00
_cell_angle_gamma 90.00
loop_
_atom_site_label
_atom_site_fract_x
_atom_site_fract_y
_atom_site_fract_z
_atom_site_occupancy
Nb1 0.169 0.331 0.000 1
Ni1 0.133 0.633 0.500 1
As1 0.000 0.000 0.500 1